# SCAN Na2RhS, single point on PBEsol structure
# Formation energy without anion corrections (meV per atom): -9
# DFT total energy (eV/atom): -12.9659
data_Na2RhS
_symmetry_space_group_name_H-M 'I -4 2 d'
_symmetry_Int_Tables_number 122
_symmetry_space_group_name_Hall 'I -4 2bw'
_cell_length_a 3.7275
_cell_length_b 3.7275
_cell_length_c 19.2990
_cell_angle_alpha 90.00
_cell_angle_beta 90.00
_cell_angle_gamma 90.00
loop_
_atom_site_label
_atom_site_fract_x
_atom_site_fract_y
_atom_site_fract_z
Na1 0.2374 0.2500 0.1250
Rh1 0.0000 0.0000 0.5000
S1 0.0000 0.0000 0.0000

***

# SCAN NaSb2Rh, single point on PBEsol structure
# Formation energy without anion corrections (meV per atom): -224
# DFT total energy (eV/atom): -28.3512
data_NaSb2Rh
_symmetry_space_group_name_H-M 'I -4 2 d'
_symmetry_Int_Tables_number 122
_symmetry_space_group_name_Hall 'I -4 2bw'
_cell_length_a 8.1662
_cell_length_b 8.1662
_cell_length_c 5.7778
_cell_angle_alpha 90.00
_cell_angle_beta 90.00
_cell_angle_gamma 90.00
loop_
_atom_site_label
_atom_site_fract_x
_atom_site_fract_y
_atom_site_fract_z
Na1 0.0000 0.0000 0.0000
Sb1 0.1698 0.2500 0.6250
Rh1 0.0000 0.0000 0.5000

***

# SCAN Na2Sb2Rh, single point on PBEsol structure
# Formation energy without anion corrections (meV per atom): -468
# DFT total energy (eV/atom): -23.8128
data_Na2Sb2Rh
_symmetry_space_group_name_H-M 'P 4/m b m'
_symmetry_Int_Tables_number 127
_symmetry_space_group_name_Hall '-P 4 2ab'
_cell_length_a 6.7588
_cell_length_b 6.7588
_cell_length_c 5.1438
_cell_angle_alpha 90.00
_cell_angle_beta 90.00
_cell_angle_gamma 90.00
loop_
_atom_site_label
_atom_site_fract_x
_atom_site_fract_y
_atom_site_fract_z
Na1 0.1736 0.3264 0.0000
Sb1 0.1483 0.6483 0.5000
Rh1 0.0000 0.0000 0.5000

***

# SCAN NaSbRh3, single point on PBEsol structure
# Formation energy without anion corrections (meV per atom): 1356
# DFT total energy (eV/atom): -27.2019
data_NaSbRh3
_symmetry_space_group_name_H-M 'P m -3 m'
_symmetry_Int_Tables_number 221
_symmetry_space_group_name_Hall '-P 4 2 3'
_cell_length_a 4.4233
_cell_length_b 4.4233
_cell_length_c 4.4233
_cell_angle_alpha 90.00
_cell_angle_beta 90.00
_cell_angle_gamma 90.00
loop_
_atom_site_label
_atom_site_fract_x
_atom_site_fract_y
_atom_site_fract_z
Na1 0.0000 0.0000 0.0000
Sb1 0.5000 0.5000 0.5000
Rh1 0.0000 0.0000 0.5000

***

# SCAN NaSb2TeRh, single point on PBEsol structure
# Formation energy without anion corrections (meV per atom): 1284
# DFT total energy (eV/atom): -28.6673
data_NaSb2TeRh
_symmetry_space_group_name_H-M 'P 4/m m m'
_symmetry_Int_Tables_number 123
_symmetry_space_group_name_Hall '-P 4 2'
_cell_length_a 5.0955
_cell_length_b 5.0955
_cell_length_c 5.1904
_cell_angle_alpha 90.00
_cell_angle_beta 90.00
_cell_angle_gamma 90.00
loop_
_atom_site_label
_atom_site_fract_x
_atom_site_fract_y
_atom_site_fract_z
Na1 0.0000 0.0000 0.0000
Sb1 0.0000 0.5000 0.0000
Te1 0.0000 0.0000 0.5000
Rh1 0.5000 0.5000 0.5000

***

# SCAN NaSc3Rh, single point on PBEsol structure
# Energy of formation (eV per atom): 1.2874
# DFT total energy (eV/atom): -14.8522
data_NaSc3Rh
_symmetry_space_group_name_H-M 'P m -3 m'
_symmetry_Int_Tables_number 221
_symmetry_space_group_name_Hall '-P 4 2 3'
_cell_length_a 4.8458
_cell_length_b 4.8458
_cell_length_c 4.8458
_cell_angle_alpha 90.00
_cell_angle_beta 90.00
_cell_angle_gamma 90.00
loop_
_atom_site_label
_atom_site_fract_x
_atom_site_fract_y
_atom_site_fract_z
Na1 0.0000 0.0000 0.0000
Sc1 0.0000 0.0000 0.5000
Rh1 0.5000 0.5000 0.5000

***

# SCAN NaSc2Rh, single point on PBEsol structure
# Energy of formation (eV per atom): 0.2405
# DFT total energy (eV/atom): -16.3747
data_NaSc2Rh
_symmetry_space_group_name_H-M 'R -3 m'
_symmetry_Int_Tables_number 166
_symmetry_space_group_name_Hall '-R 3 2"'
_cell_length_a 3.0433
_cell_length_b 3.0433
_cell_length_c 32.4118
_cell_angle_alpha 90.00
_cell_angle_beta 90.00
_cell_angle_gamma 120.00
loop_
_atom_site_label
_atom_site_fract_x
_atom_site_fract_y
_atom_site_fract_z
Na1 0.0000 0.0000 0.0000
Sc1 0.0000 0.0000 0.4278
Rh1 0.0000 0.0000 0.5000

***

# SCAN NaRh2Se2, single point on PBEsol structure
# Formation energy without anion corrections (meV per atom): -454
# DFT total energy (eV/atom): -22.8367
data_NaRh2Se2
_symmetry_space_group_name_H-M 'I 4/m m m'
_symmetry_Int_Tables_number 139
_symmetry_space_group_name_Hall '-I 4 2'
_cell_length_a 3.9063
_cell_length_b 3.9063
_cell_length_c 12.5190
_cell_angle_alpha 90.00
_cell_angle_beta 90.00
_cell_angle_gamma 90.00
loop_
_atom_site_label
_atom_site_fract_x
_atom_site_fract_y
_atom_site_fract_z
Na1 0.0000 0.0000 0.0000
Rh1 0.0000 0.5000 0.2500
Se1 0.0000 0.0000 0.3703

***

# SCAN NaSi2Rh, single point on PBEsol structure
# Formation energy without anion corrections (meV per atom): -57
# DFT total energy (eV/atom): -14.5610
data_NaSi2Rh
_symmetry_space_group_name_H-M 'F m -3 m'
_symmetry_Int_Tables_number 225
_symmetry_space_group_name_Hall '-F 4 2 3'
_cell_length_a 6.0860
_cell_length_b 6.0860
_cell_length_c 6.0860
_cell_angle_alpha 90.00
_cell_angle_beta 90.00
_cell_angle_gamma 90.00
loop_
_atom_site_label
_atom_site_fract_x
_atom_site_fract_y
_atom_site_fract_z
Na1 0.0000 0.0000 0.0000
Si1 0.2500 0.2500 0.2500
Rh1 0.0000 0.0000 0.5000

***

# SCAN NaSn2Rh2, single point on PBEsol structure
# E above lowest polymorph (meV/atom): 0
# Energy of formation (eV per atom): -0.4062
# DFT total energy (eV/atom): -29.1262
data_NaSn2Rh2
_symmetry_space_group_name_H-M 'P 4/m b m'
_symmetry_Int_Tables_number 127
_symmetry_space_group_name_Hall '-P 4 2ab'
_cell_length_a 7.7865
_cell_length_b 7.7865
_cell_length_c 2.9701
_cell_angle_alpha 90.00
_cell_angle_beta 90.00
_cell_angle_gamma 90.00
loop_
_atom_site_label
_atom_site_fract_x
_atom_site_fract_y
_atom_site_fract_z
Na1 0.0000 0.0000 0.0000
Sn1 0.1503 0.3497 0.0000
Rh1 0.1440 0.6440 0.5000

***

# SCAN NaSn2Rh, single point on PBEsol structure
# Energy of formation (eV per atom): -0.2141
# DFT total energy (eV/atom): -27.6713
data_NaSn2Rh
_symmetry_space_group_name_H-M 'F m -3 m'
_symmetry_Int_Tables_number 225
_symmetry_space_group_name_Hall '-F 4 2 3'
_cell_length_a 6.6790
_cell_length_b 6.6790
_cell_length_c 6.6790
_cell_angle_alpha 90.00
_cell_angle_beta 90.00
_cell_angle_gamma 90.00
loop_
_atom_site_label
_atom_site_fract_x
_atom_site_fract_y
_atom_site_fract_z
Na1 0.0000 0.0000 0.0000
Sn1 0.2500 0.2500 0.2500
Rh1 0.0000 0.0000 0.5000

***

# SCAN NaSn2Rh2, single point on PBEsol structure
# E above lowest polymorph (meV/atom): 28
# Energy of formation (eV per atom): -0.3785
# DFT total energy (eV/atom): -29.0985
data_NaSn2Rh2
_symmetry_space_group_name_H-M 'I 4/m m m'
_symmetry_Int_Tables_number 139
_symmetry_space_group_name_Hall '-I 4 2'
_cell_length_a 4.2646
_cell_length_b 4.2646
_cell_length_c 11.5306
_cell_angle_alpha 90.00
_cell_angle_beta 90.00
_cell_angle_gamma 90.00
loop_
_atom_site_label
_atom_site_fract_x
_atom_site_fract_y
_atom_site_fract_z
Na1 0.0000 0.0000 0.0000
Sn1 0.0000 0.0000 0.3745
Rh1 0.0000 0.5000 0.2500